## CsZr2Fe (GGA-PBE)

Data for an optimized crystal structure of CsZr2Fe.

Cell lengths 5.019, 5.019, 5.019 Å; angles 60.00, 60.00, 60.00 degrees
Sites, in units of the cell vectors:
Cs  0.000  0.000  0.000
Zr  0.250  0.250  0.250
Zr  0.750  0.750  0.750
Fe  0.500  0.500  0.500

Output
**E_tot**: -21.7 eV per formula unit
**M_tot**: 0.9 μB/cell
**Formation energy**: 1.190 eV/atom
**Fermi-level density of states**: 1.524 states/eV/atom

## NaBeInCl4 (GGA-PBE)

Data for an optimized crystal structure of NaBeInCl4.

Cell lengths 6.569, 6.832, 8.541 Å; angles 90.00, 108.16, 90.00 degrees
Sites, in units of the cell vectors:
Na  0.228  0.250  0.054
Na  0.772  0.750  0.946
Be  0.219  0.750  0.818
Be  0.781  0.250  0.182
In  0.270  0.250  0.585
In  0.730  0.750  0.415
Cl  0.021  0.512  0.775
Cl  0.021  0.988  0.775
Cl  0.399  0.750  0.663
Cl  0.407  0.750  0.056
Cl  0.593  0.250  0.944
Cl  0.601  0.250  0.337
Cl  0.979  0.012  0.225
Cl  0.979  0.488  0.225

Output
**E_tot**: -24.8 eV per formula unit
**M_tot**: 0.0 μB/cell
**E_form (uncorrected)**: -1.375 eV/atom
**Fermi-level density of states**: 0.000 states/eV/atom

## Er2CdGe3Pt4 (GGA-PBE)

Data for an optimized crystal structure of Er2CdGe3Pt4.

Cell lengths 4.106, 4.106, 11.348 Å; angles 90.00, 90.00, 90.00 degrees
Sites, in units of the cell vectors:
Er  0.000  0.500  0.242
Er  0.500  0.000  0.758
Cd  0.000  0.000  0.500
Ge  0.000  0.500  0.869
Ge  0.500  0.000  0.131
Ge  0.500  0.500  0.500
Pt  0.000  0.000  0.000
Pt  0.000  0.500  0.659
Pt  0.500  0.000  0.341
Pt  0.500  0.500  0.000

Output
**E_tot**: -55.9 eV per formula unit
**M_tot**: 0.0 μB/cell
**Formation energy**: -0.789 eV/atom
**Fermi-level density of states**: 0.613 states/eV/atom